Here is a relaxed TlBMo2 crystal from Alexandria. Energies are from PBE.

Values from the calculation:
formation enthalpy at 0 K: 1196 meV per atom
polymorph energy (0 for the lowest one): 0.19 eV/f.u.

Lattice parameters (Å, degrees): 4.957 4.957 13.075 90.00 90.00 90.00
Space group I-42d (No. 122)
One atom of each set of equivalent atoms:
1 Tl 0.000 0.000 0.000
2 B 0.000 0.000 0.500
3 Mo 0.104 0.250 0.625

***

Here is a relaxed YZr2Te crystal from Alexandria. Energies are from PBE.

Values from the calculation:
formation energy (no corrections): -0.24 eV per atom

Lattice parameters (Å, degrees): 4.471 4.471 9.734 90.00 90.00 90.00
Space group I-4m2 (No. 119)
One atom of each set of equivalent atoms:
1 Y 0.000 0.000 0.000
2 Zr 0.000 0.000 0.500
3 Zr 0.000 0.500 0.750
4 Te 0.000 0.500 0.250

***

Here is a relaxed PuVRu crystal from Alexandria. Energies are from PBE.

Values from the calculation:
formation enthalpy at 0 K: 454 meV per atom
polymorph energy (0 for the lowest one): 1.41 eV/f.u.

Lattice parameters (Å, degrees): 3.8871 3.8871 8.1594 90.00 90.00 120.00
Space group P-3m1 (No. 164)
One atom of each set of equivalent atoms:
1 Pu 0.3333 0.6667 0.0632
2 V 0.3333 0.6667 0.6768
3 Ru 0.0000 0.0000 0.3476

***

Here is a relaxed Ba2AuI6 crystal from Alexandria. Energies are from PBE.

Values from the calculation:
formation energy (no corrections): -1.06 eV per atom

Lattice parameters (Å, degrees): 7.992 7.992 14.600 90.00 90.00 90.00
Space group P4_2/mnm (No. 136)
One atom of each set of equivalent atoms:
1 Ba 0.000 0.000 0.164
2 Au 0.000 0.000 0.500
3 I 0.177 0.177 0.362
4 I 0.206 0.206 0.000

***

Here is a relaxed Mo2AsOs crystal from Alexandria. Energies are from PBE.

Values from the calculation:
formation enthalpy at 0 K: 82 meV per atom

Lattice parameters (Å, degrees): 2.986 4.462 9.111 90.00 90.00 90.00
Space group Imm2 (No. 44)
One atom of each set of equivalent atoms:
1 Mo 0.000 0.000 0.000
2 Mo 0.000 0.500 0.207
3 As 0.000 0.000 0.480
4 Os 0.000 0.500 0.759

***

Here is a relaxed Pr6Dy2Ho3 crystal from Alexandria. Energies are from PBE.

Values from the calculation:
formation enthalpy at 0 K: 131 meV per atom
polymorph energy (0 for the lowest one): 0.00 eV/f.u.

Lattice parameters (Å, degrees): 6.713 6.723 9.550 92.76 93.30 117.99
Space group P-1 (No. 2)
One atom of each set of equivalent atoms:
1 Pr 0.049 0.496 0.171
2 Pr 0.295 0.707 0.501
3 Pr 0.377 0.373 0.784
4 Dy 0.498 0.053 0.169
5 Ho 0.000 0.000 0.000
6 Ho 0.135 0.135 0.367